--- A ---
! LiTcP | the Alexandria database | PBE | optimized geometry; values from VASP
&SYSTEM
  ibrav = 0, nat = 6, ntyp = 3
/
ATOMIC_SPECIES
Li 6.94 Li.upf
Tc 98.00 Tc.upf
P 30.97 P.upf
CELL_PARAMETERS angstrom
4.0473 0.0000 0.0000
0.0000 4.0473 0.0000
0.0000 0.0000 5.7054
ATOMIC_POSITIONS crystal
Li 0.2500 0.7500 0.0000
Li 0.7500 0.2500 0.0000
Tc 0.2500 0.7500 0.5000
Tc 0.7500 0.2500 0.5000
P 0.2500 0.2500 0.2817
P 0.7500 0.7500 0.7183
! M_tot in μB/f.u.: 0.000
! Density in kg/m3: 4830
! Density of states at the Fermi level in states/eV per cell: 4.57

--- B ---
! LiTcP | the Alexandria database | PBE | optimized geometry; values from VASP
&SYSTEM
  ibrav = 0, nat = 6, ntyp = 3
/
ATOMIC_SPECIES
Li 6.94 Li.upf
Tc 98.00 Tc.upf
P 30.97 P.upf
CELL_PARAMETERS angstrom
4.3749 0.0000 0.0000
0.0000 3.9259 0.0000
-2.1671 0.0000 5.5117
ATOMIC_POSITIONS crystal
Li 0.2404 0.2500 0.4102
Li 0.7596 0.7500 0.5898
Tc 0.2761 0.7500 0.0447
Tc 0.7239 0.2500 0.9553
P 0.1523 0.2500 0.8099
P 0.8477 0.7500 0.1901
! M_tot in μB/f.u.: 0.000
! Density in kg/m3: 4768
! Density of states at the Fermi level in states/eV per cell: 4.00

Stability summary - winner: A; margin: 18 meV per atom.

--- A ---
! AlZn2Cl | the Alexandria database | PBE | optimized geometry; values from VASP
&SYSTEM
  ibrav = 0, nat = 8, ntyp = 3
/
ATOMIC_SPECIES
Al 26.98 Al.upf
Zn 65.41 Zn.upf
Cl 35.45 Cl.upf
CELL_PARAMETERS angstrom
-3.1510 3.1510 5.2781
3.1510 -3.1510 5.2781
3.1510 3.1510 -5.2781
ATOMIC_POSITIONS crystal
Al 0.0000 0.0000 0.0000
Al 0.7500 0.2500 0.5000
Zn 0.1127 0.6250 0.9877
Zn 0.3750 0.3627 0.4877
Zn 0.6373 0.1250 0.0123
Zn 0.8750 0.8873 0.5123
Cl 0.2500 0.7500 0.5000
Cl 0.5000 0.5000 0.0000
! M_tot in μB/f.u.: 0.000
! Density in kg/m3: 3062
! Density of states at the Fermi level in states/eV per cell: 0.20

--- B ---
! AlZn2Cl | the Alexandria database | PBE | optimized geometry; values from VASP
&SYSTEM
  ibrav = 0, nat = 4, ntyp = 3
/
ATOMIC_SPECIES
Al 26.98 Al.upf
Zn 65.41 Zn.upf
Cl 35.45 Cl.upf
CELL_PARAMETERS angstrom
3.2012 0.0000 0.0000
0.0000 3.2012 0.0000
0.0000 0.0000 7.4532
ATOMIC_POSITIONS crystal
Al 0.0000 0.0000 0.0000
Zn 0.0000 0.0000 0.5840
Zn 0.5000 0.5000 0.7759
Cl 0.5000 0.5000 0.2262
! M_tot in μB/f.u.: 0.000
! Density in kg/m3: 4202
! Density of states at the Fermi level in states/eV per cell: 0.55

Stability summary - winner: B; margin: 83 meV per atom.